Material: Pr3HoTl4
Method: DFT, PBE
State: relaxed

Computed properties:
For the calculated volume, the calculation gives 258 Å³/f.u. The formation energy from the elements comes out at -23.32 kJ/mol of atoms. Its density of states at the Fermi level is 6.9 states/eV/f.u.

The structure in CIF format:
```
data_Pr3HoTl4
_cell_length_a 3.766
_cell_length_b 7.381
_cell_length_c 18.548
_cell_angle_alpha 90.00
_cell_angle_beta 90.00
_cell_angle_gamma 90.00
_symmetry_space_group_name_H-M 'I m m m'
_symmetry_Int_Tables_number 71
_symmetry_space_group_name_Hall '-I 2 2'
loop_
_atom_site_label
_atom_site_type_symbol
_atom_site_fract_x
_atom_site_fract_y
_atom_site_fract_z
Pr1 Pr 0.000 0.000 0.000
Pr2 Pr 0.000 0.500 0.216
Ho1 Ho 0.000 0.000 0.500
Tl1 Tl 0.000 0.285 0.375
```